(1)
Computed, not measured: TbPm2Te3 after structural relaxation at the PBE level of DFT.

Properties
energy relative to the elements, uncorrected	-1.3750	eV per atom
SG	Immm

Cell and atoms, written as POSCAR:
```
TbPm2Te3
1.0
-2.229 3.126 6.640
2.229 -3.126 6.640
2.229 3.126 -6.640
Tb Pm Te
1 2 3
Cartesian
0.000 0.000 0.000
0.000 0.000 4.349
0.000 0.000 8.930
2.229 0.000 2.134
0.000 3.126 0.000
0.000 3.126 4.506
```

=====

(2)
Computed, not measured: Sr3ZrV after structural relaxation at the PBE level of DFT.

Properties
DFT formation energy	1.13	eV per atom
SG	Pm-3m

Cell and atoms, written as POSCAR:
```
Sr3ZrV
1.0
5.989 0.000 0.000
0.000 5.989 0.000
0.000 0.000 5.989
Sr Zr V
3 1 1
Cartesian
0.000 0.000 2.995
0.000 2.995 0.000
2.995 0.000 0.000
2.995 2.995 2.995
0.000 0.000 0.000
```

=====

(3)
Computed, not measured: TmPdPbAu after structural relaxation at the PBE level of DFT.

Properties
DFT formation energy	-0.61	eV per atom
SG	F-43m

Cell and atoms, written as POSCAR:
```
TmPdPbAu
1.0
0.000 3.497 3.497
3.497 0.000 3.497
3.497 3.497 0.000
Tm Pd Pb Au
1 1 1 1
Cartesian
0.000 0.000 0.000
1.748 1.748 1.748
3.497 3.497 3.497
5.245 5.245 5.245
```

=====

(4)
Computed, not measured: Sm2ZnBi after structural relaxation at the PBE level of DFT.

Properties
DFT formation energy	-0.44	eV per atom
SG	Fm-3m

Cell and atoms, written as POSCAR:
```
Sm2ZnBi
1.0
0.000 3.803 3.803
3.803 0.000 3.803
3.803 3.803 0.000
Sm Zn Bi
2 1 1
Cartesian
1.901 1.901 1.901
5.704 5.704 5.704
0.000 0.000 0.000
3.803 3.803 3.803
```